Run A
Here is a relaxed Ba2Zr crystal from Alexandria. Energies are from PBE.

Properties
ρ = 5.003 Mg/m³
magnetic moment = 0.00 Bohr magnetons per cell
density of states at the Fermi level = 1.90 states/eV per atom

Unit cell a=3.819 b=3.819 c=9.613 alpha=90.00 beta=90.00 gamma=120.00
Element x y z (fractional)
Ba: 0.667 0.333 0.702
Ba: 0.333 0.667 0.298
Zr: 0.000 0.000 0.000


Run B
Here is a relaxed Ba2Zr crystal from Alexandria. Energies are from PBE.

Properties
ρ = 4.446 Mg/m³
magnetic moment = 0.00 Bohr magnetons per cell
density of states at the Fermi level = 1.58 states/eV per atom

Unit cell a=16.931 b=16.931 c=4.349 alpha=90.00 beta=90.00 gamma=167.34
Element x y z (fractional)
Ba: 0.658 0.342 0.750
Ba: 0.948 0.052 0.750
Ba: 0.052 0.948 0.250
Ba: 0.342 0.658 0.250
Zr: 0.262 0.738 0.750
Zr: 0.738 0.262 0.250


Run C
Here is a relaxed Ba2Zr crystal from Alexandria. Energies are from PBE.

Properties
ρ = 4.953 Mg/m³
magnetic moment = 1.82 Bohr magnetons per cell
density of states at the Fermi level = 1.31 states/eV per atom

Unit cell a=10.696 b=10.696 c=3.714 alpha=90.00 beta=90.00 gamma=120.00
Last column: magnetic moment on the atom in μB.
Element x y z (fractional)
Ba: 0.000 0.688 0.000  -0.01
Ba: 0.312 0.312 0.000  -0.01
Ba: 0.688 0.000 0.000  -0.01
Ba: 0.000 0.355 0.500  0.05
Ba: 0.645 0.645 0.500  0.05
Ba: 0.355 0.000 0.500  0.05
Zr: 0.667 0.333 0.000  0.97
Zr: 0.333 0.667 0.000  0.97
Zr: 0.000 0.000 0.500  -1.07


Stability ranking, top and bottom: run B is the most stable and run C is the least stable.


Run A
Here is a relaxed Ba2Zr crystal from Alexandria. Energies are from PBE.

Properties
ρ = 5.108 Mg/m³
magnetic moment = 0.87 Bohr magnetons per cell
density of states at the Fermi level = 1.88 states/eV per atom

Unit cell a=6.271 b=6.271 c=3.492 alpha=90.00 beta=90.00 gamma=120.00
Last column: magnetic moment on the atom in μB.
Element x y z (fractional)
Ba: 0.333 0.667 0.500  0.03
Ba: 0.667 0.333 0.500  0.03
Zr: 0.000 0.000 0.000  0.41


Run B
Here is a relaxed Ba2Zr crystal from Alexandria. Energies are from PBE.

Properties
ρ = 4.535 Mg/m³
magnetic moment = 1.15 Bohr magnetons per cell
density of states at the Fermi level = 1.42 states/eV per atom

Unit cell a=3.624 b=8.558 c=8.638 alpha=90.00 beta=90.00 gamma=90.00
Last column: magnetic moment on the atom in μB.
Element x y z (fractional)
Ba: 0.000 0.326 0.802  0.02
Ba: 0.000 0.674 0.198  0.02
Ba: 0.500 0.174 0.302  0.02
Ba: 0.500 0.826 0.698  0.02
Zr: 0.000 0.000 0.000  0.36
Zr: 0.500 0.500 0.500  0.36


Run C
Here is a relaxed Ba2Zr crystal from Alexandria. Energies are from PBE.

Properties
ρ = 4.577 Mg/m³
magnetic moment = 0.91 Bohr magnetons per cell
density of states at the Fermi level = 1.59 states/eV per atom

Unit cell a=9.105 b=9.105 c=8.101 alpha=74.78 beta=74.78 gamma=24.23
Last column: magnetic moment on the atom in μB.
Element x y z (fractional)
Ba: 0.837 0.837 0.108  0.01
Ba: 0.117 0.117 0.433  0.03
Ba: 0.163 0.163 0.892  0.01
Ba: 0.883 0.883 0.567  0.03
Zr: 0.497 0.497 0.829  0.21
Zr: 0.503 0.503 0.171  0.21


Run D
Here is a relaxed Ba2Zr crystal from Alexandria. Energies are from PBE.

Properties
ρ = 4.904 Mg/m³
magnetic moment = 3.82 Bohr magnetons per cell
density of states at the Fermi level = 1.61 states/eV per atom

Unit cell a=10.408 b=10.408 c=6.426 alpha=90.00 beta=90.00 gamma=159.15
Last column: magnetic moment on the atom in μB.
Element x y z (fractional)
Ba: 0.778 0.222 0.750  0.07
Ba: 0.450 0.550 0.750  0.06
Ba: 0.222 0.778 0.250  0.07
Ba: 0.550 0.450 0.250  0.06
Zr: 0.117 0.883 0.750  0.91
Zr: 0.883 0.117 0.250  0.91


Stability ranking, top and bottom: run C is the most stable and run B is the least stable.


Run A
Here is a relaxed Ba3Zr crystal from Alexandria. Energies are from PBE.

Properties
ρ = 4.214 Mg/m³
magnetic moment = 1.31 Bohr magnetons per cell
density of states at the Fermi level = 1.32 states/eV per atom

Unit cell a=10.924 b=10.924 c=4.080 alpha=90.00 beta=90.00 gamma=125.47
Last column: magnetic moment on the atom in μB.
Element x y z (fractional)
Ba: 0.730 0.270 0.750  -0.02
Ba: 0.270 0.730 0.250  -0.02
Ba: 0.885 0.704 0.750  0.01
Ba: 0.115 0.296 0.250  0.01
Ba: 0.296 0.115 0.750  0.01
Ba: 0.704 0.885 0.250  0.01
Zr: 0.554 0.446 0.250  0.50
Zr: 0.446 0.554 0.750  0.50


Run B
Here is a relaxed Ba3Zr crystal from Alexandria. Energies are from PBE.

Properties
ρ = 4.450 Mg/m³
magnetic moment = 0.92 Bohr magnetons per cell
density of states at the Fermi level = 1.58 states/eV per atom

Unit cell a=7.952 b=7.952 c=7.952 alpha=150.51 beta=130.16 gamma=58.98
Last column: magnetic moment on the atom in μB.
Element x y z (fractional)
Ba: 0.290 0.290 0.000  -0.01
Ba: 0.710 0.710 0.000  -0.01
Ba: 0.000 0.500 0.500  0.02
Zr: 0.500 0.000 0.500  0.64


Stability ranking, top and bottom: run A is the most stable and run B is the least stable.


Run A
Here is a relaxed Ba4Zr5 crystal from Alexandria. Energies are from PBE.

Properties
ρ = 5.095 Mg/m³
magnetic moment = 0.00 Bohr magnetons per cell
density of states at the Fermi level = 1.38 states/eV per atom

Unit cell a=8.502 b=8.502 c=8.502 alpha=94.87 beta=94.87 gamma=146.12
Element x y z (fractional)
Ba: 0.691 0.000 0.691
Ba: 0.309 0.000 0.309
Ba: 0.000 0.309 0.309
Ba: 0.000 0.691 0.691
Zr: 0.000 0.000 0.000
Zr: 0.628 0.372 0.000
Zr: 0.372 0.628 0.000
Zr: 0.372 0.372 0.743
Zr: 0.628 0.628 0.257


Run B
Here is a relaxed Ba4Zr5 crystal from Alexandria. Energies are from PBE.

Properties
ρ = 5.842 Mg/m³
magnetic moment = 0.00 Bohr magnetons per cell
density of states at the Fermi level = 1.95 states/eV per atom

Unit cell a=10.050 b=10.050 c=6.535 alpha=90.00 beta=90.00 gamma=120.00
Element x y z (fractional)
Ba: 0.000 0.000 0.000
Ba: 0.000 0.000 0.500
Ba: 0.000 0.308 0.250
Ba: 0.692 0.692 0.250
Ba: 0.308 0.000 0.250
Ba: 0.000 0.692 0.750
Ba: 0.308 0.308 0.750
Ba: 0.692 0.000 0.750
Zr: 0.000 0.601 0.250
Zr: 0.399 0.399 0.250
Zr: 0.601 0.000 0.250
Zr: 0.000 0.399 0.750
Zr: 0.601 0.601 0.750
Zr: 0.399 0.000 0.750
Zr: 0.667 0.333 0.000
Zr: 0.333 0.667 0.500
Zr: 0.333 0.667 0.000
Zr: 0.667 0.333 0.500


Stability ranking, top and bottom: run A is the most stable and run B is the least stable.


Run A
Here is a relaxed Ba4Zr crystal from Alexandria. Energies are from PBE.

Properties
ρ = 3.802 Mg/m³
magnetic moment = 0.21 Bohr magnetons per cell
density of states at the Fermi level = 1.37 states/eV per atom

Unit cell a=6.540 b=6.540 c=6.540 alpha=90.00 beta=90.00 gamma=90.00
Last column: magnetic moment on the atom in μB.
Element x y z (fractional)
Ba: 0.000 0.000 0.000  -0.07
Ba: 0.500 0.000 0.500  0.01
Ba: 0.000 0.500 0.500  0.01
Ba: 0.500 0.500 0.000  0.01
Zr: 0.500 0.500 0.500  0.45


Run B
Here is a relaxed Ba4Zr crystal from Alexandria. Energies are from PBE.

Properties
ρ = 3.734 Mg/m³
magnetic moment = 0.00 Bohr magnetons per cell
density of states at the Fermi level = 1.61 states/eV per atom

Unit cell a=7.179 b=7.179 c=7.179 alpha=109.47 beta=109.47 gamma=109.47
Element x y z (fractional)
Ba: 0.500 0.000 0.000
Ba: 0.500 0.500 0.500
Ba: 0.000 0.500 0.000
Ba: 0.000 0.000 0.500
Zr: 0.000 0.000 0.000


Stability ranking, top and bottom: run A is the most stable and run B is the least stable.


Run A
Here is a relaxed Ba2Zr3 crystal from Alexandria. Energies are from PBE.

Properties
ρ = 5.570 Mg/m³
magnetic moment = 0.00 Bohr magnetons per cell
density of states at the Fermi level = 1.74 states/eV per atom

Unit cell a=5.383 b=5.383 c=6.514 alpha=90.00 beta=90.00 gamma=120.00
Element x y z (fractional)
Ba: 0.667 0.333 0.161
Ba: 0.333 0.667 0.839
Zr: 0.000 0.000 0.000
Zr: 0.667 0.333 0.629
Zr: 0.333 0.667 0.371


Run B
Here is a relaxed Ba2Zr3 crystal from Alexandria. Energies are from PBE.

Properties
ρ = 5.240 Mg/m³
magnetic moment = 0.00 Bohr magnetons per cell
density of states at the Fermi level = 1.70 states/eV per atom

Unit cell a=9.553 b=8.908 c=6.748 alpha=73.76 beta=63.54 gamma=42.70
Element x y z (fractional)
Ba: 0.468 0.436 0.864
Ba: 0.233 0.864 0.436
Ba: 0.814 0.782 0.017
Ba: 0.386 0.017 0.782
Zr: 0.530 0.279 0.378
Zr: 0.813 0.378 0.279
Zr: 0.971 0.720 0.437
Zr: 0.872 0.437 0.720
Zr: 0.956 0.044 0.044
Zr: 0.206 0.294 0.294


Stability ranking, top and bottom: run B is the most stable and run A is the least stable.


Run A
Here is a relaxed BeBi crystal from Alexandria. Energies are from PBE.

Properties
ρ = 7.343 Mg/m³
magnetic moment = 0.00 Bohr magnetons per cell
density of states at the Fermi level = 0.29 states/eV per atom

Unit cell a=3.559 b=3.559 c=7.783 alpha=90.00 beta=90.00 gamma=90.00
Element x y z (fractional)
Be: 0.000 0.000 0.500
Be: 0.500 0.500 0.500
Bi: 0.000 0.500 0.749
Bi: 0.500 0.000 0.251


Run B
Here is a relaxed BeBi crystal from Alexandria. Energies are from PBE.

Properties
ρ = 8.791 Mg/m³
magnetic moment = 0.00 Bohr magnetons per cell
density of states at the Fermi level = 0.84 states/eV per atom

Unit cell a=5.481 b=5.481 c=5.481 alpha=90.00 beta=90.00 gamma=90.00
Element x y z (fractional)
Be: 0.000 0.000 0.000
Be: 0.000 0.500 0.500
Be: 0.500 0.000 0.500
Be: 0.500 0.500 0.000
Bi: 0.500 0.500 0.500
Bi: 0.500 0.000 0.000
Bi: 0.000 0.500 0.000
Bi: 0.000 0.000 0.500


Run C
Here is a relaxed BeBi crystal from Alexandria. Energies are from PBE.

Properties
ρ = 7.622 Mg/m³
magnetic moment = 0.00 Bohr magnetons per cell
density of states at the Fermi level = 0.47 states/eV per atom

Unit cell a=3.734 b=3.734 c=7.865 alpha=90.00 beta=90.00 gamma=120.00
Element x y z (fractional)
Be: 0.667 0.333 0.318
Be: 0.333 0.667 0.249
Bi: 0.000 0.000 0.498
Bi: 0.667 0.333 0.001


Stability ranking, top and bottom: run A is the most stable and run B is the least stable.


Run A
Here is a relaxed BeBi crystal from Alexandria. Energies are from PBE.

Properties
ρ = 8.029 Mg/m³
magnetic moment = 0.00 Bohr magnetons per cell
density of states at the Fermi level = 0.37 states/eV per atom

Unit cell a=8.489 b=10.563 c=8.044 alpha=90.00 beta=90.00 gamma=90.00
Element x y z (fractional)
Be: 0.000 0.896 0.000
Be: 0.000 0.104 0.000
Be: 0.250 0.854 0.250
Be: 0.250 0.646 0.250
Be: 0.000 0.396 0.500
Be: 0.000 0.604 0.500
Be: 0.250 0.354 0.750
Be: 0.250 0.146 0.750
Be: 0.500 0.896 0.500
Be: 0.500 0.104 0.500
Be: 0.750 0.854 0.750
Be: 0.750 0.646 0.750
Be: 0.500 0.396 0.000
Be: 0.500 0.604 0.000
Be: 0.750 0.354 0.250
Be: 0.750 0.146 0.250
Bi: 0.288 0.000 0.000
Bi: 0.712 0.000 0.000
Bi: 0.962 0.750 0.250
Bi: 0.538 0.750 0.250
Bi: 0.288 0.500 0.500
Bi: 0.712 0.500 0.500
Bi: 0.962 0.250 0.750
Bi: 0.538 0.250 0.750
Bi: 0.788 0.000 0.500
Bi: 0.212 0.000 0.500
Bi: 0.462 0.750 0.750
Bi: 0.038 0.750 0.750
Bi: 0.788 0.500 0.000
Bi: 0.212 0.500 0.000
Bi: 0.462 0.250 0.250
Bi: 0.038 0.250 0.250


Run B
Here is a relaxed BeBi crystal from Alexandria. Energies are from PBE.

Properties
ρ = 7.247 Mg/m³
magnetic moment = 0.00 Bohr magnetons per cell
density of states at the Fermi level = 0.43 states/eV per atom

Unit cell a=9.965 b=9.965 c=4.024 alpha=90.00 beta=90.00 gamma=90.00
Element x y z (fractional)
Be: 0.275 0.802 0.000
Be: 0.725 0.198 0.000
Be: 0.198 0.275 0.000
Be: 0.802 0.725 0.000
Be: 0.775 0.302 0.500
Be: 0.225 0.698 0.500
Be: 0.698 0.775 0.500
Be: 0.302 0.225 0.500
Bi: 0.460 0.253 0.000
Bi: 0.540 0.747 0.000
Bi: 0.747 0.460 0.000
Bi: 0.253 0.540 0.000
Bi: 0.960 0.753 0.500
Bi: 0.040 0.247 0.500
Bi: 0.247 0.960 0.500
Bi: 0.753 0.040 0.500


Run C
Here is a relaxed BeBi crystal from Alexandria. Energies are from PBE.

Properties
ρ = 6.526 Mg/m³
magnetic moment = 0.00 Bohr magnetons per cell
density of states at the Fermi level = 0.24 states/eV per atom

Unit cell a=4.047 b=6.951 c=11.831 alpha=90.00 beta=90.00 gamma=90.00
Element x y z (fractional)
Be: 0.000 0.827 0.643
Be: 0.500 0.173 0.857
Be: 0.500 0.173 0.143
Be: 0.000 0.827 0.357
Be: 0.000 0.639 0.000
Be: 0.500 0.361 0.500
Bi: 0.000 0.935 0.860
Bi: 0.500 0.065 0.640
Bi: 0.500 0.065 0.360
Bi: 0.000 0.935 0.140
Bi: 0.000 0.567 0.500
Bi: 0.500 0.433 0.000


Run D
Here is a relaxed BeBi crystal from Alexandria. Energies are from PBE.

Properties
ρ = 7.691 Mg/m³
magnetic moment = 0.00 Bohr magnetons per cell
density of states at the Fermi level = 0.06 states/eV per atom

Unit cell a=7.882 b=6.055 c=7.890 alpha=90.00 beta=90.00 gamma=90.00
Element x y z (fractional)
Be: 0.318 0.638 0.128
Be: 0.818 0.862 0.872
Be: 0.682 0.138 0.372
Be: 0.182 0.362 0.628
Be: 0.322 0.059 0.680
Be: 0.822 0.441 0.320
Be: 0.678 0.559 0.820
Be: 0.178 0.941 0.180
Bi: 0.649 0.719 0.147
Bi: 0.149 0.781 0.853
Bi: 0.351 0.219 0.353
Bi: 0.851 0.281 0.647
Bi: 0.403 0.361 0.891
Bi: 0.903 0.139 0.109
Bi: 0.597 0.861 0.609
Bi: 0.097 0.639 0.391


Stability ranking, top and bottom: run A is the most stable and run C is the least stable.


Run A
Here is a relaxed BeBi crystal from Alexandria. Energies are from PBE.

Properties
ρ = 7.523 Mg/m³
magnetic moment = 0.00 Bohr magnetons per cell
density of states at the Fermi level = 0.42 states/eV per atom

Unit cell a=3.837 b=3.837 c=7.548 alpha=90.00 beta=90.00 gamma=120.00
Element x y z (fractional)
Be: 0.333 0.667 0.377
Be: 0.667 0.333 0.877
Bi: 0.333 0.667 0.705
Bi: 0.667 0.333 0.205


Run B
Here is a relaxed BeBi crystal from Alexandria. Energies are from PBE.

Properties
ρ = 8.228 Mg/m³
magnetic moment = 0.00 Bohr magnetons per cell
density of states at the Fermi level = 0.38 states/eV per atom

Unit cell a=11.285 b=4.278 c=5.467 alpha=90.00 beta=90.00 gamma=90.00
Element x y z (fractional)
Be: 0.816 0.334 0.680
Be: 0.684 0.666 0.180
Be: 0.184 0.334 0.680
Be: 0.316 0.666 0.180
Be: 0.000 0.183 0.500
Be: 0.500 0.817 0.000
Bi: 0.821 0.172 0.184
Bi: 0.679 0.828 0.684
Bi: 0.179 0.172 0.184
Bi: 0.321 0.828 0.684
Bi: 0.000 0.679 0.773
Bi: 0.500 0.321 0.273


Stability ranking, top and bottom: run B is the most stable and run A is the least stable.